Here is a relaxed structure of VCdPbO5 from the Alexandria database. Energies are from PBE+U.

```
VCdPbO5
1.0
3.663 -4.576 0.000
3.663 4.576 0.000
-2.956 0.000 7.434
V Cd Pb O
2 2 2 10
direct
0.168 0.832 0.750
0.832 0.168 0.250
0.164 0.836 0.250
0.836 0.164 0.750
0.500 0.500 0.000
0.500 0.500 0.500
0.106 0.205 0.415
0.148 0.589 0.843
0.205 0.106 0.915
0.399 0.601 0.250
0.411 0.852 0.657
0.589 0.148 0.343
0.601 0.399 0.750
0.795 0.894 0.085
0.852 0.411 0.157
0.894 0.795 0.585
```

Output
calculated volume: 249.2 Å³ per cell
total energy: -5.963 eV per atom
space-group type: C2/c (15)